Entry from the Alexandria database: In2SiAg at its PBEsol-relaxed geometry (SCAN).

Summary:
- Space-group type: Pm
- Uncorrected formation energy: 0.234 eV per atom

POSCAR file:
```
In2SiAg
1.0
4.026 0.000 0.000
0.000 4.115 0.000
-1.933 0.000 5.028
Ag In Si
1 2 1
Cartesian
0.279 2.057 3.920 Ag
-1.718 0.000 4.615 In
2.313 2.057 1.690 In
0.334 0.000 2.347 Si
```

=====

Entry from the Alexandria database: InSi2Ag at its PBEsol-relaxed geometry (SCAN).

Summary:
- Space-group type: Pmmm
- Uncorrected formation energy: 0.517 eV per atom

POSCAR file:
```
InSi2Ag
1.0
-1.835 2.106 -0.741
-3.014 -2.506 0.344
-0.650 1.642 6.272
Ag In Si
1 1 2
Cartesian
-2.425 -0.200 -0.199 Ag
-2.750 0.621 2.937 In
-0.521 1.317 5.031 Si
-0.129 0.325 1.241 Si
```

=====

Entry from the Alexandria database: In2SiAg at its PBEsol-relaxed geometry (SCAN).

Summary:
- Space-group type: R-3m
- Uncorrected formation energy: 0.298 eV per atom

POSCAR file:
```
In2SiAg
1.0
3.370 0.000 0.000
1.685 2.918 0.000
1.685 0.973 8.324
Ag In Si
1 2 1
Cartesian
0.000 0.000 0.000 Ag
1.685 0.973 2.110 In
5.055 2.918 6.214 In
3.370 1.946 4.162 Si
```

=====

Entry from the Alexandria database: SmInAg2 at its PBEsol-relaxed geometry (SCAN).

Summary:
- Energy: -142.283 eV per cell
- Space-group type: Fm-3m

POSCAR file:
```
SmInAg2
1.0
-4.517 -0.366 -1.881
-3.162 -3.275 1.831
-3.872 1.518 2.603
Sm Ag In
1 2 1
Cartesian
-5.776 -1.061 1.276 Sm
-8.664 -1.592 1.914 Ag
-2.888 -0.531 0.638 Ag
0.000 0.000 0.000 In
```

=====

Entry from the Alexandria database: InAgSn2 at its PBEsol-relaxed geometry (SCAN).

Summary:
- Energy: -135.676 eV per cell
- Space-group type: Fm-3m

POSCAR file:
```
InAgSn2
1.0
-1.606 -4.794 0.672
2.339 -3.023 3.376
-2.372 -1.313 4.320
Sn Ag In
2 1 1
Cartesian
-0.410 -2.283 2.092 Sn
-1.229 -6.848 6.276 Sn
0.000 0.000 0.000 Ag
-0.819 -4.565 4.184 In
```

=====

Entry from the Alexandria database: SrIn2Ag at its PBEsol-relaxed geometry (SCAN).

Summary:
- Energy: -121.951 eV per cell
- Space-group type: R3m

POSCAR file:
```
SrIn2Ag
1.0
4.720 0.000 0.000
2.360 4.088 0.000
2.360 1.363 5.695
Sr Ag In
1 1 2
Cartesian
4.720 2.725 2.918 Sr
7.080 4.088 5.326 Ag
2.360 1.363 5.020 In
2.360 1.363 0.849 In
```

=====

Entry from the Alexandria database: SrInAg4 at its PBEsol-relaxed geometry (SCAN).

Summary:
- Energy: -182.443 eV per cell
- Space-group type: F-43m

POSCAR file:
```
SrInAg4
1.0
5.587 0.000 0.000
2.793 4.838 0.000
2.793 1.613 4.562
Sr Ag In
1 4 1
Cartesian
0.000 0.000 0.000 Sr
4.197 2.423 1.713 Ag
5.587 3.226 3.983 Ag
6.977 2.423 1.713 Ag
5.587 4.830 1.713 Ag
8.380 4.838 3.421 In
```

=====

Entry from the Alexandria database: SrInAg2 at its PBEsol-relaxed geometry (SCAN).

Summary:
- Energy: -119.645 eV per cell
- Space-group type: R-3m

POSCAR file:
```
SrInAg2
1.0
4.758 0.000 0.000
2.379 4.120 0.000
2.379 1.373 5.111
Sr Ag In
1 2 1
Cartesian
4.758 2.747 2.555 Sr
7.137 4.120 4.529 Ag
2.379 1.373 0.582 Ag
0.000 0.000 0.000 In
```